Entry 1:
VASP calculation (PBE) on an optimized crystal structure of CrMo2Pb.

Cell lengths 4.8824, 4.8824, 4.8824 Å; angles 129.08, 129.08, 74.88 degrees
Closest atoms and distances in Å follow each position.
Fractional coordinates of all 4 atoms:
Cr1 0.0000 0.0000 0.0000  8 Mo 2.86-2.97, 4 Pb 2.86
Mo1 0.2500 0.7500 0.5000  4 Cr 2.86, 4 Mo 2.86, 4 Pb 2.97
Mo2 0.5000 0.5000 0.0000  4 Pb 2.86, 4 Mo 2.86, 4 Cr 2.97
Pb1 0.7500 0.2500 0.5000  4 Cr 2.86, 8 Mo 2.86-2.97

Results
density = 10.966 g/cm3
DOS at the Fermi energy = 3.33 states/eV/cell
energy relative to the elements = 0.613 eV per atom



Entry 2:
VASP calculation (PBE) on an optimized crystal structure of AcCdSn2Pd.

Cell lengths 6.7667, 6.7667, 6.7667 Å; angles 139.52, 139.52, 58.58 degrees
Closest atoms and distances in Å follow each position.
Fractional coordinates of all 5 atoms:
Ac1 0.0000 0.0000 0.0000  8 Sn 3.61, 4 Cd 3.77, 4 Pd 3.77
Cd1 0.2500 0.7500 0.5000  4 Sn 2.79
Sn1 0.3790 0.3790 0.0000  2 Cd 2.79, 2 Pd 2.79, 1 Sn 2.86
Sn2 0.6210 0.6210 0.0000  2 Cd 2.79, 2 Pd 2.79, 1 Sn 2.86
Pd1 0.7500 0.2500 0.5000  4 Sn 2.79

Results
density = 8.772 g/cm3
DOS at the Fermi energy = 1.43 states/eV/cell
energy relative to the elements = -0.563 eV per atom



Entry 3:
VASP calculation (PBE) on an optimized crystal structure of LiHgAs2.

Cell lengths 2.8127, 2.8127, 10.6478 Å; angles 90.00, 90.00, 90.00 degrees
Closest atoms and distances in Å follow each position.
Fractional coordinates of all 4 atoms:
Li1 0.0000 0.0000 0.0000  4 Li 2.81, 8 As 2.85
Hg1 0.0000 0.0000 0.5000  4 Hg 2.81
As1 0.5000 0.5000 0.1921  4 As 2.81, 4 Li 2.85
As2 0.5000 0.5000 0.8079  4 As 2.81, 4 Li 2.85

Results
density = 7.045 g/cm3
DOS at the Fermi energy = 1.76 states/eV/cell
energy relative to the elements = -0.054 eV per atom



Entry 4:
VASP calculation (PBE) on an optimized crystal structure of Tb2TlP.

Cell lengths 8.4838, 8.4838, 8.4838 Å; angles 26.56, 26.56, 26.56 degrees
Closest atoms and distances in Å follow each position.
Fractional coordinates of all 4 atoms:
Tb1 0.0000 0.0000 0.0000  3 P 2.78
Tb2 0.2021 0.2021 0.2021  3 P 2.75
Tl1 0.7676 0.7676 0.7676  6 Tb 3.35
P1 0.6001 0.6001 0.6001  6 Tb 2.75-2.78

Results
density = 8.534 g/cm3
DOS at the Fermi energy = 2.55 states/eV/cell
offset from the most stable computed form = 45 meV per atom
energy relative to the elements = -0.930 eV per atom